YHgBi2O4: optimized geometry, PBE.

a b c (Å): 3.9265 3.9265 9.5765
angles (deg): 90.00 90.00 90.00
With the nearest neighbours (Å) after each atom.
Sites, in units of the cell vectors:
Y  0.0000  0.0000  0.0000  8 O 2.40
Hg  0.0000  0.0000  0.5000  8 Bi 3.59, 4 Hg 3.93, 8 O 3.93
Bi  0.5000  0.5000  0.2629  4 O 2.27
Bi  0.5000  0.5000  0.7371  4 O 2.27
O  0.0000  0.5000  0.1449  2 Bi 2.27, 2 Y 2.40
O  0.0000  0.5000  0.8551  2 Bi 2.27, 2 Y 2.40
O  0.5000  0.0000  0.1449  2 Bi 2.27, 2 Y 2.40
O  0.5000  0.0000  0.8551  2 Bi 2.27, 2 Y 2.40

Output
Energy relative to the elements, uncorrected, eV per atom: -1.667
E, eV/atom: -5.962

***

HgBi3Os: optimized geometry, PBE.

a b c (Å): 5.3665 5.3665 5.3665
angles (deg): 90.00 90.00 90.00
With the nearest neighbours (Å) after each atom.
Sites, in units of the cell vectors:
Hg  0.0000  0.0000  0.0000  12 Bi 3.79
Bi  0.0000  0.5000  0.5000  2 Os 2.68
Bi  0.5000  0.0000  0.5000  2 Os 2.68
Bi  0.5000  0.5000  0.0000  2 Os 2.68
Os  0.5000  0.5000  0.5000  6 Bi 2.68

Output
E, eV/atom: -3.961

***

HgBiOs3: optimized geometry, PBE.

a b c (Å): 4.9905 4.9905 4.9905
angles (deg): 90.00 90.00 90.00
With the nearest neighbours (Å) after each atom.
Sites, in units of the cell vectors:
Hg  0.0000  0.0000  0.0000  12 Os 3.53
Bi  0.5000  0.5000  0.5000  6 Os 2.50
Os  0.0000  0.5000  0.5000  2 Bi 2.50
Os  0.5000  0.0000  0.5000  2 Bi 2.50
Os  0.5000  0.5000  0.0000  2 Bi 2.50

Output
E, eV/atom: -4.679

***

> Which value of E does entry 3 give?

-4.679 eV/atom

***

Please write out number 2 again, unchanged.
HgBi3Os: optimized geometry, PBE.

a b c (Å): 5.3665 5.3665 5.3665
angles (deg): 90.00 90.00 90.00
With the nearest neighbours (Å) after each atom.
Sites, in units of the cell vectors:
Hg  0.0000  0.0000  0.0000  12 Bi 3.79
Bi  0.0000  0.5000  0.5000  2 Os 2.68
Bi  0.5000  0.0000  0.5000  2 Os 2.68
Bi  0.5000  0.5000  0.0000  2 Os 2.68
Os  0.5000  0.5000  0.5000  6 Bi 2.68

Output
E, eV/atom: -3.961

***

> E of number 3 (HgBiOs3)?

-4.679 eV/atom

***

Copy entry 3 word for word.
HgBiOs3: optimized geometry, PBE.

a b c (Å): 4.9905 4.9905 4.9905
angles (deg): 90.00 90.00 90.00
With the nearest neighbours (Å) after each atom.
Sites, in units of the cell vectors:
Hg  0.0000  0.0000  0.0000  12 Os 3.53
Bi  0.5000  0.5000  0.5000  6 Os 2.50
Os  0.0000  0.5000  0.5000  2 Bi 2.50
Os  0.5000  0.0000  0.5000  2 Bi 2.50
Os  0.5000  0.5000  0.0000  2 Bi 2.50

Output
E, eV/atom: -4.679